Here is Rb2FeBF6 after structural relaxation from the Alexandria database. Energies are from PBE+U.

Geometry as CIF:
```
data_Rb2FeBF6
_chemical_formula_sum 'Rb4 Fe2 B2 F12'
_cell_length_a 6.2805
_cell_length_b 6.2805
_cell_length_c 8.4281
_cell_angle_alpha 90.00
_cell_angle_beta 90.00
_cell_angle_gamma 90.00
_symmetry_space_group_name_H-M 'I 4/m m m'
_symmetry_Int_Tables_number 139
_symmetry_space_group_name_Hall '-I 4 2'
loop_
_atom_site_label
_atom_site_fract_x
_atom_site_fract_y
_atom_site_fract_z
Rb1 0.0000 0.5000 0.2500
Fe1 0.0000 0.0000 0.0000
B1 0.0000 0.0000 0.5000
F1 0.0000 0.0000 0.2221
F2 0.1703 0.1703 0.5000
```

Properties
M_tot (μB/f.u.): 3.00
Volume (A^3/atom): 16.6
Calculated total energy (Ry per atom): -0.350